{
  "formula": "TlV2ClO",
  "functional": "PBE+U",
  "state": "optimized geometry",
  "e_tot_ev_per_cell": -19.2,
  "m_tot_mub_per_cell": 7.61,
  "spacegroup": "P4/mmm, No. 123",
  "rho_g_cm3": 4.5,
  "cell": [[4.7226, 0.0000, 0.0000], [0.0000, 4.7226, 0.0000], [0.0000, 0.0000, 5.8787]],
  "species": ["Tl", "V", "V", "Cl", "O"],
  "frac_coords": [[0.0000, 0.0000, 0.0000], [0.0000, 0.5000, 0.5000], [0.5000, 0.0000, 0.5000], [0.0000, 0.0000, 0.5000], [0.5000, 0.5000, 0.0000]]
}

=====

{
  "formula": "Tl2VCl5O",
  "functional": "PBE+U",
  "state": "optimized geometry",
  "e_tot_ev_per_cell": -35.8,
  "m_tot_mub_per_cell": 0.00,
  "spacegroup": "I4mm, No. 107",
  "rho_g_cm3": 4.5,
  "cell": [[-3.4711, 3.4711, 5.0082], [3.4711, -3.4711, 5.0082], [3.4711, 3.4711, -5.0082]],
  "species": ["Tl", "Tl", "V", "Cl", "Cl", "Cl", "Cl", "Cl", "O"],
  "frac_coords": [[0.0000, 0.5000, 0.5000], [0.5000, 0.0000, 0.5000], [0.2664, 0.2664, 0.0000], [0.0085, 0.0085, 0.5258], [0.0085, 0.4827, 0.0000], [0.0130, 0.0130, 0.0000], [0.4827, 0.0085, 0.0000], [0.4827, 0.4827, 0.4742], [0.4290, 0.4290, 0.0000]]
}

=====

{
  "formula": "TlWClO3",
  "functional": "PBE+U",
  "state": "optimized geometry",
  "e_tot_ev_per_cell": -70.2,
  "m_tot_mub_per_cell": 0.00,
  "spacegroup": "C2/c, No. 15",
  "rho_g_cm3": 5.0,
  "cell": [[2.9021, -9.7249, 0.0000], [2.9021, 9.7249, 0.0000], [-0.0122, 0.0000, 5.5526]],
  "species": ["Tl", "Tl", "W", "W", "Cl", "Cl", "O", "O", "O", "O", "O", "O"],
  "frac_coords": [[0.2457, 0.7543, 0.7500], [0.7543, 0.2457, 0.2500], [0.0302, 0.9698, 0.2500], [0.9698, 0.0302, 0.7500], [0.3181, 0.6819, 0.2500], [0.6819, 0.3181, 0.7500], [0.1194, 0.8806, 0.2500], [0.2143, 0.2143, 0.0006], [0.2143, 0.2143, 0.5006], [0.7857, 0.7857, 0.4994], [0.7857, 0.7857, 0.9994], [0.8806, 0.1194, 0.7500]]
}